Entry 1:
{"formula": "Lu2USe", "functional": "PBE", "state": "optimized geometry", "lattice": [[3.474, 0.000, 0.000], [1.737, 3.009, 0.000], [1.737, 1.003, 10.316]], "species": ["U", "Lu", "Se", "Lu"], "frac_coords": [[0.000, 0.000, 0.000], [0.895, 0.895, 0.315], [0.500, 0.500, 0.500], [0.105, 0.105, 0.685]], "sg": "No. 166", "vol_a3_per_atom": 27.0, "formation_energy_uncorrected_kj_per_mol_fu": -53}

Entry 2:
{"formula": "CsTb2USe5", "functional": "PBE", "state": "optimized geometry", "lattice": [[-3.738, -3.780, 0.157], [4.556, -4.330, 4.232], [-3.094, 6.953, 3.661]], "species": ["Se", "Se", "Tb", "Tb", "U", "Se", "Se", "Se", "Cs"], "frac_coords": [[0.343, 0.077, 0.685], [0.000, 0.000, 0.000], [0.796, 0.796, 0.593], [0.204, 0.204, 0.407], [0.500, 0.000, 0.000], [0.657, 0.923, 0.315], [0.343, 0.608, 0.685], [0.657, 0.392, 0.315], [0.000, 0.500, 0.000]], "sg": "No. 71", "vol_a3_per_atom": 31.6, "formation_energy_uncorrected_kj_per_mol_fu": -1258}

Entry 3:
{"formula": "Y2Cu4O", "functional": "PBE", "state": "optimized geometry", "lattice": [[4.041, 0.000, 0.000], [0.000, 4.041, 0.000], [2.020, 2.020, 7.585]], "species": ["Cu", "Y", "Cu", "O", "Y", "Cu", "Cu"], "frac_coords": [[0.864, 0.864, 0.273], [0.326, 0.326, 0.348], [0.000, 0.500, 0.000], [0.000, 0.000, 0.000], [0.674, 0.674, 0.652], [0.500, 0.000, 0.000], [0.136, 0.136, 0.727]], "sg": "No. 139", "vol_a3_per_atom": 17.7, "formation_energy_uncorrected_kj_per_mol_fu": -112}